Entry from Alexandria via LeMat-Bulk: crystalline Zr2V2Cr at its relaxed geometry (PBE).

The structure in extended XYZ format:
```
10
Lattice="-2.8508 -4.6081 -2.7700 -1.3824 -2.4017 5.4181 -4.0165 2.4484 0.0605" Properties=species:S:1:pos:R:3 pbc="T T T"
Cr 0.0000 0.0000 0.0000
Cr -2.1166 -3.5049 1.3241
Zr -3.4133 -1.1587 3.1859
Zr -5.0637 -3.8536 2.6826
Zr -4.8364 -3.4026 -0.4772
Zr -3.1860 -0.7078 0.0261
V -2.1705 -3.6504 3.6345
V -3.3210 -5.4768 1.1718
V -2.0627 -3.3594 -0.9863
V -0.9123 -1.5330 1.4764
```

Mass density (g/cm³): 6.4
DFT formation energy (eV per atom): 0.22
Fermi-level density of states (states/eV per cell): 12.79
Symmetry: P4/mbm, No. 127